First-principles (GGA+U) data for V2CrPbO8 after structural relaxation, as listed in Alexandria.

Output
space group: No. 164
size of the total moment: 0.165 μB/atom
uncorrected energy: -7.13 eV/atom

Cell: 5.5675 5.5675 6.6966 Å, 90.00 90.00 120.00°
Last column: nearest neighbours and their distance in Å.
Element x y z (fractional)
Cr (0.0000, 0.0000, 0.5000)  6 O 1.92
O (0.6667, 0.3333, 0.0000)  1 V 1.67
V (0.6667, 0.3333, 0.2487)  4 O 1.67-1.77
O (0.6846, 0.8421, 0.6757)  1 V 1.77, 1 Cr 1.92
V (0.3333, 0.6667, 0.7513)  4 O 1.67-1.77
O (0.8421, 0.1575, 0.3243)  1 V 1.77, 1 Cr 1.92
O (0.8425, 0.6846, 0.3243)  1 V 1.77, 1 Cr 1.92
O (0.3333, 0.6667, 0.0000)  1 V 1.67
O (0.3154, 0.1579, 0.3243)  1 V 1.77, 1 Cr 1.92
O (0.1579, 0.8425, 0.6757)  1 V 1.77, 1 Cr 1.92
O (0.1575, 0.3154, 0.6757)  1 V 1.77, 1 Cr 1.92
Pb (0.0000, 0.0000, 0.0000)  6 O 2.65